Entry 1:
KCuPt2 | GGA-PBEsol | optimized geometry

Properties
E = -4.5893 eV/atom
formation enthalpy at 0 K = 0.259 eV/atom
D(E_F) = 0.584 states/eV per atom
polymorph energy (0 for the lowest one) = 41 meV per atom

Unit cell a=2.6737 b=4.1718 c=7.0111 alpha=90.00 beta=101.03 gamma=90.00
Sites, in units of the cell vectors:
K (0.0000, 0.0000, 0.0000)
Cu (0.0000, 0.0000, 0.5000)
Pt (0.3655, 0.5000, 0.6709)
Pt (0.6345, 0.5000, 0.3291)

=====

Entry 2:
KCuPt | GGA-PBEsol | optimized geometry

Properties
E = -3.3802 eV/atom
formation enthalpy at 0 K = 0.763 eV/atom
D(E_F) = 0.067 states/eV per atom

Unit cell a=6.4330 b=6.4330 c=6.4330 alpha=90.00 beta=90.00 gamma=90.00
Sites, in units of the cell vectors:
K (0.0000, 0.0000, 0.0000)
K (0.0000, 0.5000, 0.5000)
K (0.5000, 0.0000, 0.5000)
K (0.5000, 0.5000, 0.0000)
Cu (0.0000, 0.0000, 0.5000)
Cu (0.0000, 0.5000, 0.0000)
Cu (0.5000, 0.0000, 0.0000)
Cu (0.5000, 0.5000, 0.5000)
Pt (0.2500, 0.2500, 0.7500)
Pt (0.2500, 0.7500, 0.2500)
Pt (0.7500, 0.2500, 0.2500)
Pt (0.7500, 0.7500, 0.7500)

=====

Entry 3:
KCuPt2 | GGA-PBEsol | optimized geometry

Properties
E = -4.6301 eV/atom
formation enthalpy at 0 K = 0.218 eV/atom
D(E_F) = 0.654 states/eV per atom
polymorph energy (0 for the lowest one) = 0 meV per atom

Unit cell a=11.1868 b=2.7224 c=4.9012 alpha=90.00 beta=115.87 gamma=90.00
Sites, in units of the cell vectors:
K (0.0000, 0.0000, 0.0000)
K (0.5000, 0.5000, 0.0000)
Cu (0.0000, 0.5000, 0.5000)
Cu (0.5000, 0.0000, 0.5000)
Pt (0.2193, 0.0000, 0.7193)
Pt (0.2807, 0.5000, 0.2807)
Pt (0.7193, 0.5000, 0.7193)
Pt (0.7807, 0.0000, 0.2807)

=====

Entry 4:
KCu2Pt | GGA-PBEsol | optimized geometry

Properties
E = -3.4730 eV/atom
formation enthalpy at 0 K = 0.718 eV/atom
D(E_F) = 0.450 states/eV per atom
polymorph energy (0 for the lowest one) = 490 meV per atom

Unit cell a=6.4399 b=6.4399 c=6.4399 alpha=90.00 beta=90.00 gamma=90.00
Sites, in units of the cell vectors:
K (0.0000, 0.0000, 0.0000)
K (0.0000, 0.5000, 0.5000)
K (0.5000, 0.0000, 0.5000)
K (0.5000, 0.5000, 0.0000)
Cu (0.0000, 0.0000, 0.5000)
Cu (0.0000, 0.5000, 0.0000)
Cu (0.2500, 0.2500, 0.2500)
Cu (0.2500, 0.7500, 0.7500)
Cu (0.5000, 0.0000, 0.0000)
Cu (0.5000, 0.5000, 0.5000)
Cu (0.7500, 0.2500, 0.7500)
Cu (0.7500, 0.7500, 0.2500)
Pt (0.2500, 0.2500, 0.7500)
Pt (0.2500, 0.7500, 0.2500)
Pt (0.7500, 0.2500, 0.2500)
Pt (0.7500, 0.7500, 0.7500)

=====

Entry 5:
KCuPt2Rh | GGA-PBEsol | optimized geometry

Properties
E = -4.1768 eV/atom
formation enthalpy at 0 K = 1.330 eV/atom
D(E_F) = 1.620 states/eV per atom

Unit cell a=4.5787 b=4.5787 c=4.7533 alpha=90.00 beta=90.00 gamma=90.00
Sites, in units of the cell vectors:
K (0.0000, 0.0000, 0.0000)
Cu (0.0000, 0.0000, 0.5000)
Pt (0.0000, 0.5000, 0.5000)
Pt (0.5000, 0.0000, 0.5000)
Rh (0.5000, 0.5000, 0.0000)

=====

Entry 6:
KRb2Cu2 | GGA-PBEsol | optimized geometry

Properties
E = -1.8389 eV/atom
formation enthalpy at 0 K = 0.531 eV/atom
D(E_F) = 0.539 states/eV per atom

Unit cell a=5.3277 b=5.3277 c=13.7502 alpha=90.00 beta=90.00 gamma=90.00
Sites, in units of the cell vectors:
K (0.0000, 0.0000, 0.0000)
K (0.5000, 0.5000, 0.5000)
Rb (0.0000, 0.5000, 0.2500)
Rb (0.0000, 0.5000, 0.7500)
Rb (0.5000, 0.0000, 0.2500)
Rb (0.5000, 0.0000, 0.7500)
Cu (0.0000, 0.0000, 0.4144)
Cu (0.0000, 0.0000, 0.5856)
Cu (0.5000, 0.5000, 0.0856)
Cu (0.5000, 0.5000, 0.9144)

=====

Entry 7:
KCuRe2 | GGA-PBEsol | optimized geometry

Properties
E = -5.8078 eV/atom
formation enthalpy at 0 K = 2.225 eV/atom
D(E_F) = 1.192 states/eV per atom
polymorph energy (0 for the lowest one) = 1441 meV per atom

Unit cell a=6.2452 b=6.2452 c=6.2452 alpha=90.00 beta=90.00 gamma=90.00
Sites, in units of the cell vectors:
K (0.0000, 0.0000, 0.0000)
K (0.0000, 0.5000, 0.5000)
K (0.5000, 0.0000, 0.5000)
K (0.5000, 0.5000, 0.0000)
Cu (0.0000, 0.0000, 0.5000)
Cu (0.0000, 0.5000, 0.0000)
Cu (0.5000, 0.0000, 0.0000)
Cu (0.5000, 0.5000, 0.5000)
Re (0.2500, 0.2500, 0.2500)
Re (0.2500, 0.2500, 0.7500)
Re (0.2500, 0.7500, 0.2500)
Re (0.2500, 0.7500, 0.7500)
Re (0.7500, 0.2500, 0.2500)
Re (0.7500, 0.2500, 0.7500)
Re (0.7500, 0.7500, 0.2500)
Re (0.7500, 0.7500, 0.7500)

=====

Entry 8:
KCuRe2 | GGA-PBEsol | optimized geometry

Properties
E = -7.2323 eV/atom
formation enthalpy at 0 K = 0.801 eV/atom
D(E_F) = 1.017 states/eV per atom
polymorph energy (0 for the lowest one) = 17 meV per atom

Unit cell a=2.7129 b=3.7330 c=7.7572 alpha=90.00 beta=90.00 gamma=90.00
Sites, in units of the cell vectors:
K (0.0000, 0.0000, 0.0000)
Cu (0.5000, 0.5000, 0.6860)
Re (0.0000, 0.0000, 0.5068)
Re (0.5000, 0.5000, 0.3542)

=====

Entry 9:
KCuRe | GGA-PBEsol | optimized geometry

Properties
E = -5.2665 eV/atom
formation enthalpy at 0 K = 1.000 eV/atom
D(E_F) = 1.083 states/eV per atom

Unit cell a=2.6487 b=2.6487 c=15.1237 alpha=90.00 beta=90.00 gamma=90.00
Sites, in units of the cell vectors:
K (0.0000, 0.0000, 0.0000)
K (0.5000, 0.5000, 0.5000)
Cu (0.0000, 0.0000, 0.3115)
Cu (0.5000, 0.5000, 0.8115)
Re (0.0000, 0.0000, 0.6889)
Re (0.5000, 0.5000, 0.1889)

=====

Entry 10:
KCuRe2 | GGA-PBEsol | optimized geometry

Properties
E = -6.7531 eV/atom
formation enthalpy at 0 K = 1.280 eV/atom
D(E_F) = 0.915 states/eV per atom
polymorph energy (0 for the lowest one) = 496 meV per atom

Unit cell a=2.6234 b=4.7842 c=5.3470 alpha=90.00 beta=90.00 gamma=90.00
Sites, in units of the cell vectors:
K (0.0000, 0.0000, 0.0000)
Cu (0.5000, 0.5000, 0.0000)
Re (0.0000, 0.5000, 0.5000)
Re (0.5000, 0.0000, 0.5000)

=====

Entry 11:
KCuRe2 | GGA-PBEsol | optimized geometry

Properties
E = -7.2491 eV/atom
formation enthalpy at 0 K = 0.784 eV/atom
D(E_F) = 0.682 states/eV per atom
polymorph energy (0 for the lowest one) = 0 meV per atom

Unit cell a=3.0126 b=4.4558 c=9.9780 alpha=90.00 beta=90.00 gamma=90.00
Sites, in units of the cell vectors:
K (0.0000, 0.0000, 0.0000)
K (0.5000, 0.5000, 0.0000)
Cu (0.0000, 0.5000, 0.7177)
Cu (0.5000, 0.0000, 0.7177)
Re (0.0000, 0.0000, 0.5074)
Re (0.0000, 0.5000, 0.2941)
Re (0.5000, 0.0000, 0.2941)
Re (0.5000, 0.5000, 0.5074)

=====

Entry 12:
KCuRe2 | GGA-PBEsol | optimized geometry

Properties
E = -7.1555 eV/atom
formation enthalpy at 0 K = 0.877 eV/atom
D(E_F) = 0.458 states/eV per atom
polymorph energy (0 for the lowest one) = 94 meV per atom

Unit cell a=2.5773 b=4.7135 c=10.9939 alpha=90.00 beta=90.00 gamma=90.00
Sites, in units of the cell vectors:
K (0.0000, 0.0000, 0.0000)
K (0.5000, 0.5000, 0.5000)
Cu (0.0000, 0.0000, 0.5000)
Cu (0.5000, 0.5000, 0.0000)
Re (0.0000, 0.5000, 0.2134)
Re (0.0000, 0.5000, 0.7866)
Re (0.5000, 0.0000, 0.2866)
Re (0.5000, 0.0000, 0.7134)